No. 1
The following is a SCAN calculation of Li4Cu at its PBEsol-relaxed geometry, from Alexandria.

Output
V: 153.23 Å³ per cell
Total magnetic moment: 0.1 μB per cell
E: -4.929 eV per atom

```
data_Li4Cu
_cell_length_a 6.2330
_cell_length_b 6.2330
_cell_length_c 3.9442
_cell_angle_alpha 90.00
_cell_angle_beta 90.00
_cell_angle_gamma 90.00
_symmetry_space_group_name_H-M 'I 4/m'
_symmetry_Int_Tables_number 87
_symmetry_space_group_name_Hall '-I 4'
loop_
_atom_site_label
_atom_site_fract_x
_atom_site_fract_y
_atom_site_fract_z
Li1 0.1061 0.2879 0.0000
Cu1 0.0000 0.0000 0.5000
```

=====

No. 2
The following is a SCAN calculation of Cd2TeCl at its PBEsol-relaxed geometry, from Alexandria.

Output
V: 192.28 Å³ per cell
Total magnetic moment: 0.0 μB per cell
E: -26.795 eV per atom
Offset from the most stable computed form: 0.007 eV per atom
Formation energy (no corrections): -0.28 eV/atom

```
data_Cd2TeCl
_cell_length_a 3.9566
_cell_length_b 5.2339
_cell_length_c 9.2851
_cell_angle_alpha 90.00
_cell_angle_beta 90.00
_cell_angle_gamma 90.00
_symmetry_space_group_name_H-M 'C m m 2'
_symmetry_Int_Tables_number 35
loop_
_symmetry_equiv_pos_as_xyz
'x,y,z'
'-x,-y,z'
'-x,y,z'
'x,-y,z'
'x+1/2,y+1/2,z'
'-x+1/2,-y+1/2,z'
'-x+1/2,y+1/2,z'
'x+1/2,-y+1/2,z'
loop_
_atom_site_label
_atom_site_fract_x
_atom_site_fract_y
_atom_site_fract_z
Cd1 0.0000 0.0000 0.0000
Cd2 0.0000 0.5000 0.2326
Te1 0.0000 0.0000 0.4842
Cl1 0.0000 0.5000 0.8181
```

=====

Which formula does entry 2 have? Cd2TeCl